Material: DyMnF5
Method: DFT, PBE+U
State: relaxed

Properties
E_tot ... -6.560 eV/atom
SG ... No. 15
Volume ... 15.99 Å³/atom

abc: 5.768 5.768 7.680
angles: 70.92 70.92 73.66
Atoms (fractional coordinates):
Mn 0.000 0.000 0.000
F 0.672 0.311 0.962
F 0.311 0.672 0.462
F 0.328 0.689 0.038
Mn 0.000 0.000 0.500
F 0.272 0.219 0.372
F 0.219 0.272 0.872
Dy 0.550 0.450 0.250
F 0.689 0.328 0.538
F 0.125 0.875 0.750
F 0.875 0.125 0.250
Dy 0.450 0.550 0.750
F 0.728 0.781 0.628
F 0.781 0.728 0.128



Material: NaDyMnF6
Method: DFT, PBE+U
State: relaxed

Properties
E_tot ... -6.082 eV/atom
SG ... No. 102
Volume ... 15.23 Å³/atom

abc: 5.141 5.141 10.373
angles: 90.00 90.00 90.00
Atoms (fractional coordinates):
F 0.301 0.301 0.322
F 0.699 0.699 0.322
F 0.294 0.294 0.678
F 0.685 0.685 0.001
F 0.185 0.815 0.501
Na 0.500 0.500 0.499
F 0.199 0.801 0.822
Mn 0.500 0.500 0.167
F 0.801 0.199 0.822
F 0.315 0.315 0.001
F 0.206 0.794 0.178
Dy 0.500 0.500 0.833
Mn 0.000 0.000 0.667
Dy 0.000 0.000 0.333
Na 0.000 0.000 0.999
F 0.815 0.185 0.501
F 0.794 0.206 0.178
F 0.706 0.706 0.678



Material: Na2DyMnF6
Method: DFT, PBE+U
State: relaxed

Properties
E_tot ... -5.525 eV/atom
SG ... No. 146
Volume ... 15.21 Å³/atom

abc: 6.016 6.018 5.967
angles: 90.00 120.27 120.03
Atoms (fractional coordinates):
Na 0.573 0.286 0.844
F 0.532 0.915 0.675
Dy 0.999 0.999 0.984
Mn 0.032 0.515 0.533
F 0.066 0.347 0.203
F 0.774 0.615 0.675
F 0.074 0.157 0.675
F 0.500 0.151 0.203
F 0.870 0.718 0.203
Na 0.547 0.773 0.306



Material: DyMnSnF6
Method: DFT, PBE+U
State: relaxed

Properties
E_tot ... -5.855 eV/atom
SG ... No. 163
Volume ... 19.19 Å³/atom

abc: 5.867 5.867 11.589
angles: 90.00 90.00 120.00
Atoms (fractional coordinates):
F 0.361 0.995 0.153
F 0.366 0.361 0.847
Sn 0.000 0.000 0.500
F 0.634 0.639 0.153
Dy 0.333 0.667 0.750
Mn 0.667 0.333 0.750
F 0.361 0.366 0.347
F 0.366 0.005 0.653
F 0.995 0.361 0.653
F 0.634 0.995 0.347
F 0.639 0.005 0.847
F 0.995 0.634 0.847
Mn 0.333 0.667 0.250
F 0.639 0.634 0.653
F 0.005 0.639 0.347
Dy 0.667 0.333 0.250
Sn 0.000 0.000 0.000
F 0.005 0.366 0.153



Material: DyMnTlF6
Method: DFT, PBE+U
State: relaxed

Properties
E_tot ... -5.961 eV/atom
SG ... No. 163
Volume ... 19.53 Å³/atom

abc: 5.941 5.941 11.502
angles: 90.00 90.00 120.00
Atoms (fractional coordinates):
Mn 0.333 0.667 0.250
F 0.615 0.620 0.150
F 0.620 0.615 0.650
F 0.995 0.615 0.850
Tl 0.000 0.000 0.500
F 0.615 0.995 0.350
Tl 0.000 0.000 0.000
F 0.385 0.380 0.850
Dy 0.333 0.667 0.750
F 0.385 0.005 0.650
F 0.380 0.385 0.350
F 0.005 0.385 0.150
Dy 0.667 0.333 0.250
F 0.620 0.005 0.850
F 0.380 0.995 0.150
F 0.995 0.380 0.650
F 0.005 0.620 0.350
Mn 0.667 0.333 0.750



Material: DyMo2F11
Method: DFT, PBE+U
State: relaxed

Properties
E_tot ... -5.753 eV/atom
SG ... No. 72
Volume ... 14.49 Å³/atom

abc: 7.702 8.227 8.227
angles: 73.47 62.09 62.09
Atoms (fractional coordinates):
F 0.635 0.703 0.562
F 0.865 0.938 0.797
Mo 0.641 0.681 0.319
F 0.734 0.677 0.044
F 0.600 0.203 0.062
F 0.368 0.715 0.285
F 0.632 0.285 0.715
F 0.766 0.456 0.823
Mo 0.859 0.181 0.819
F 0.365 0.297 0.438
Dy 0.750 0.750 0.750
Mo 0.359 0.319 0.681
F 0.500 0.500 0.500
F 0.400 0.797 0.938
F 0.955 0.823 0.456
Mo 0.141 0.819 0.181
F 0.868 0.785 0.215
F 0.045 0.177 0.544
F 0.455 0.956 0.323
F 0.132 0.215 0.785
F 0.135 0.062 0.203
F 0.900 0.438 0.297
F 0.266 0.323 0.956
F 0.100 0.562 0.703
F 0.545 0.044 0.677
F 0.234 0.544 0.177
Dy 0.250 0.250 0.250
F 0.000 0.000 0.000



Material: DyMoO4F
Method: DFT, PBE+U
State: relaxed

Properties
Energy above the lowest structure with this stoichiometry ... 5 meV/atom
SG ... No. 12
Volume ... 16.81 Å³/atom

abc: 6.040 6.040 7.026
angles: 75.59 75.59 75.27
Atoms (fractional coordinates):
O 0.740 0.740 0.457
O 0.517 0.898 0.843
Dy 0.797 0.797 0.108
O 0.458 0.458 0.775
F 0.014 0.014 0.171
O 0.260 0.260 0.543
O 0.898 0.517 0.843
O 0.102 0.483 0.157
Mo 0.652 0.652 0.720
Mo 0.348 0.348 0.280
Dy 0.203 0.203 0.892
F 0.986 0.986 0.829
O 0.483 0.102 0.157
O 0.542 0.542 0.225



Material: DyMoO4F
Method: DFT, PBE+U
State: relaxed

Properties
Energy above the lowest structure with this stoichiometry ... 0 meV/atom
SG ... No. 14
Volume ... 14.49 Å³/atom

abc: 12.454 5.266 6.735
angles: 66.68 90.00 90.00
Atoms (fractional coordinates):
F 0.902 0.460 0.961
Mo 0.357 0.081 0.869
O 0.777 0.806 0.205
O 0.848 0.237 0.407
O 0.348 0.763 0.093
O 0.431 0.003 0.663
F 0.402 0.540 0.539
O 0.652 0.237 0.907
O 0.152 0.763 0.593
Dy 0.051 0.360 0.800
Dy 0.551 0.640 0.700
O 0.935 0.690 0.538
O 0.069 0.003 0.163
O 0.565 0.690 0.038
F 0.098 0.540 0.039
Dy 0.949 0.640 0.200
Dy 0.449 0.360 0.300
Mo 0.643 0.919 0.131
O 0.223 0.194 0.795
O 0.723 0.806 0.705
Mo 0.143 0.081 0.369
O 0.435 0.310 0.962
O 0.931 0.997 0.837
O 0.569 0.997 0.337
F 0.598 0.460 0.461
Mo 0.857 0.919 0.631
O 0.277 0.194 0.295
O 0.065 0.310 0.462



Among the records above, which one has the highest volume? DyMnTlF6



Among the records above, which one has the highest volume? DyMnTlF6